7
Lattice="-2.402 2.402 6.626 2.402 -2.402 6.626 2.402 2.402 -6.626" Properties=species:S:1:pos:R:3 comment="PBE Nb4AsBr2, relaxed" vol_a3_per_atom=21.8 dos_ef_per_ev_fu=7.1 energy_ev_per_atom=-6.040 formation_energy_uncorrected_kj_per_mol_atoms=83 sg="No. 139" pbc="T T T"
Nb 2.402 0.000 0.000
Nb 0.000 0.000 2.613
Nb 0.000 2.402 0.000
Nb 0.000 0.000 10.638
As 0.000 0.000 0.000
Br 0.000 0.000 5.117
Br 0.000 0.000 8.134